# SrPr2WN4 PBE relaxed
data_SrPr2WN4
_chemical_formula_sum 'Sr4 Pr8 W4 N16'
_symmetry_space_group_name_H-M 'C m c m'
_symmetry_Int_Tables_number 63
_symmetry_space_group_name_Hall '-C 2c 2'
_cell_length_a 3.5779
_cell_length_b 12.5366
_cell_length_c 12.6156
_cell_angle_alpha 90.00
_cell_angle_beta 90.00
_cell_angle_gamma 90.00
loop_
_atom_site_label
_atom_site_fract_x
_atom_site_fract_y
_atom_site_fract_z
Sr1 0.0000 0.0920 0.2500
Pr1 0.0000 0.3698 0.0363
W1 0.0000 0.1744 0.7500
N1 0.0000 0.0000 0.0000
N2 0.0000 0.2634 0.6299
N3 0.0000 0.4022 0.2500
# Spin magnetization, μB/cell: 0.00
# Volume, A^3/atom: 17.7
# Fermi-level density of states, states/eV/f.u.: 4.63
# Raw total energy, eV per atom: -8.0773

# SrPrWN4 PBE relaxed
data_SrPrWN4
_chemical_formula_sum 'Sr2 Pr2 W2 N8'
_symmetry_space_group_name_H-M 'I 4 m m'
_symmetry_Int_Tables_number 107
_symmetry_space_group_name_Hall 'I 4 -2'
_cell_length_a 3.9867
_cell_length_b 3.9867
_cell_length_c 12.9315
_cell_angle_alpha 90.00
_cell_angle_beta 90.00
_cell_angle_gamma 90.00
loop_
_atom_site_label
_atom_site_fract_x
_atom_site_fract_y
_atom_site_fract_z
Sr1 0.0000 0.0000 0.0000
Pr1 0.0000 0.0000 0.7106
W1 0.0000 0.0000 0.3615
N1 0.0000 0.0000 0.1900
N2 0.0000 0.0000 0.5102
N3 0.0000 0.5000 0.3454
# Spin magnetization, μB/cell: 1.95
# Volume, A^3/atom: 14.7
# Fermi-level density of states, states/eV/f.u.: 4.49
# Raw total energy, eV per atom: -8.2824

# Sr2PrWN4 PBE relaxed
data_Sr2PrWN4
_chemical_formula_sum 'Sr4 Pr2 W2 N8'
_symmetry_space_group_name_H-M 'P m n 21'
_symmetry_Int_Tables_number 31
_symmetry_space_group_name_Hall 'P 2ac -2'
_cell_length_a 7.8049
_cell_length_b 7.0885
_cell_length_c 5.6761
_cell_angle_alpha 90.00
_cell_angle_beta 90.00
_cell_angle_gamma 90.00
loop_
_atom_site_label
_atom_site_fract_x
_atom_site_fract_y
_atom_site_fract_z
Sr1 0.2482 0.1577 0.0000
Pr1 0.0000 0.6514 0.0079
W1 0.0000 0.3420 0.5336
N1 0.0000 0.3475 0.8636
N2 0.0000 0.6022 0.4383
N3 0.2064 0.2132 0.4531
# Spin magnetization, μB/cell: 1.99
# Volume, A^3/atom: 19.6
# Fermi-level density of states, states/eV/f.u.: 2.31
# Raw total energy, eV per atom: -7.7428

# SrPrZnN2 PBE relaxed
data_SrPrZnN2
_chemical_formula_sum 'Sr2 Pr2 Zn2 N4'
_symmetry_space_group_name_H-M 'P c c m'
_symmetry_Int_Tables_number 49
_symmetry_space_group_name_Hall '-P 2 2c'
_cell_length_a 5.5440
_cell_length_b 5.5693
_cell_length_c 6.9404
_cell_angle_alpha 90.00
_cell_angle_beta 90.00
_cell_angle_gamma 90.00
loop_
_atom_site_label
_atom_site_fract_x
_atom_site_fract_y
_atom_site_fract_z
Sr1 0.0000 0.0000 0.2500
Pr1 0.5000 0.5000 0.2500
Zn1 0.0000 0.5000 0.0000
N1 0.2593 0.2844 0.0000
# Spin magnetization, μB/cell: 0.00
# Volume, A^3/atom: 21.4
# Fermi-level density of states, states/eV/f.u.: 2.40
# Raw total energy, eV per atom: -5.3621

# Pr3TaN4 PBE relaxed
data_Pr3TaN4
_chemical_formula_sum 'Pr6 Ta2 N8'
_symmetry_space_group_name_H-M 'P m n 21'
_symmetry_Int_Tables_number 31
_symmetry_space_group_name_Hall 'P 2ac -2'
_cell_length_a 8.0947
_cell_length_b 6.9225
_cell_length_c 5.3333
_cell_angle_alpha 90.00
_cell_angle_beta 90.00
_cell_angle_gamma 90.00
loop_
_atom_site_label
_atom_site_fract_x
_atom_site_fract_y
_atom_site_fract_z
Pr1 0.0000 0.1608 0.0000
Pr2 0.2462 0.3332 0.5027
Ta1 0.0000 0.8266 0.4528
N1 0.0000 0.1154 0.5006
N2 0.0000 0.8269 0.0857
N3 0.2192 0.6964 0.5006
# Spin magnetization, μB/cell: 0.00
# Volume, A^3/atom: 18.7
# Fermi-level density of states, states/eV/f.u.: 4.00
# Raw total energy, eV per atom: -8.6436

# PrTaN3 PBE relaxed
data_PrTaN3
_chemical_formula_sum 'Pr2 Ta2 N6'
_symmetry_space_group_name_H-M 'P m m a'
_symmetry_Int_Tables_number 51
_symmetry_space_group_name_Hall '-P 2a 2a'
_cell_length_a 5.6810
_cell_length_b 4.1486
_cell_length_c 6.0219
_cell_angle_alpha 90.00
_cell_angle_beta 90.00
_cell_angle_gamma 90.00
loop_
_atom_site_label
_atom_site_fract_x
_atom_site_fract_y
_atom_site_fract_z
Pr1 0.2500 0.0000 0.2176
Ta1 0.2500 0.5000 0.7681
N1 0.0000 0.5000 0.0000
N2 0.2500 0.0000 0.7674
N3 0.2500 0.5000 0.4330
# Spin magnetization, μB/cell: 1.15
# Volume, A^3/atom: 14.2
# Fermi-level density of states, states/eV/f.u.: 3.11
# Raw total energy, eV per atom: -9.1339